Record 1
The following is a PBE calculation of crystalline Ga2NiP at its relaxed geometry, from Alexandria via LeMat-Bulk.

```
data_Ga2NiP
_symmetry_space_group_name_H-M 'I -4 2 d'
_symmetry_Int_Tables_number 122
_symmetry_space_group_name_Hall 'I -4 2bw'
_cell_length_a 5.7899
_cell_length_b 5.7899
_cell_length_c 9.6383
_cell_angle_alpha 90.00
_cell_angle_beta 90.00
_cell_angle_gamma 90.00
loop_
_atom_site_label
_atom_site_type_symbol
_atom_site_fract_x
_atom_site_fract_y
_atom_site_fract_z
Ga1 Ga 0.2475 0.2500 0.1250
Ni1 Ni 0.0000 0.0000 0.0000
P1 P 0.0000 0.0000 0.5000
```

Computed properties:
- DOS(E_F): 0.84 states/eV/atom
- Calculated volume: 323.1 Å³/cell
- Crystal system: tetragonal
- ΔE_f: 3.5 kcal/mol of atoms



Record 2
The following is a PBE calculation of crystalline BaAlMo2 at its relaxed geometry, from Alexandria via LeMat-Bulk.

```
data_BaAlMo2
_symmetry_space_group_name_H-M 'P 4/m m m'
_symmetry_Int_Tables_number 123
_symmetry_space_group_name_Hall '-P 4 2'
_cell_length_a 3.5435
_cell_length_b 3.5435
_cell_length_c 7.3376
_cell_angle_alpha 90.00
_cell_angle_beta 90.00
_cell_angle_gamma 90.00
loop_
_atom_site_label
_atom_site_type_symbol
_atom_site_fract_x
_atom_site_fract_y
_atom_site_fract_z
Ba1 Ba 0.0000 0.0000 0.0000
Al1 Al 0.0000 0.0000 0.5000
Mo1 Mo 0.5000 0.5000 0.3482
```

Computed properties:
- DOS(E_F): 0.92 states/eV/atom
- Calculated volume: 92.1 Å³/cell
- Crystal system: tetragonal
- ΔE_f: 10.2 kcal/mol of atoms



Record 3
The following is a PBE calculation of crystalline Tb6BiTe3As2 at its relaxed geometry, from Alexandria via LeMat-Bulk.

```
data_Tb6BiTe3As2
_symmetry_space_group_name_H-M 'C 1 2/m 1'
_symmetry_Int_Tables_number 12
_cell_length_a 18.9385
_cell_length_b 4.2844
_cell_length_c 8.7064
_cell_angle_alpha 90.00
_cell_angle_beta 103.93
_cell_angle_gamma 90.00
loop_
_symmetry_equiv_pos_as_xyz
'x,y,z'
'-x,-y,-z'
'-x,y,-z'
'x,-y,z'
'x+1/2,y+1/2,z'
'-x+1/2,-y+1/2,-z'
'-x+1/2,y+1/2,-z'
'x+1/2,-y+1/2,z'
loop_
_atom_site_label
_atom_site_type_symbol
_atom_site_fract_x
_atom_site_fract_y
_atom_site_fract_z
Tb1 Tb 0.0133 0.0000 0.2576
Tb2 Tb 0.1711 0.5000 0.1141
Tb3 Tb 0.1753 0.5000 0.5682
Bi1 Bi 0.0000 0.5000 0.0000
Te1 Te 0.0000 0.5000 0.5000
Te2 Te 0.1616 0.0000 0.8336
As1 As 0.1687 0.0000 0.3371
```

Computed properties:
- DOS(E_F): 0.40 states/eV/atom
- Calculated volume: 685.7 Å³/cell
- Crystal system: monoclinic
- E_form (uncorrected): -1370 meV per atom



Record 4
The following is a PBE calculation of crystalline PbCSe2Br at its relaxed geometry, from Alexandria via LeMat-Bulk.

```
data_PbCSe2Br
_symmetry_space_group_name_H-M 'P 4/m m m'
_symmetry_Int_Tables_number 123
_symmetry_space_group_name_Hall '-P 4 2'
_cell_length_a 4.5120
_cell_length_b 4.5120
_cell_length_c 5.2510
_cell_angle_alpha 90.00
_cell_angle_beta 90.00
_cell_angle_gamma 90.00
loop_
_atom_site_label
_atom_site_type_symbol
_atom_site_fract_x
_atom_site_fract_y
_atom_site_fract_z
Pb1 Pb 0.0000 0.0000 0.0000
C1 C 0.5000 0.5000 0.5000
Se1 Se 0.0000 0.5000 0.5000
Br1 Br 0.5000 0.5000 0.0000
```

Computed properties:
- Energy relative to the lowest polymorph listed for this composition: 0.0000 eV per atom
- DOS(E_F): 0.63 states/eV/atom
- Calculated volume: 106.9 Å³/cell
- Crystal system: tetragonal
- E_form (uncorrected): 726 meV per atom